A geometry-optimized Rb2CaWF6 structure, computed with PBE with a Hubbard U.

## Properties
Calculated total energy ... -4.97 eV per atom
Symmetry ... I4/mmm, No. 139

a = 6.465 Å, b = 6.465 Å, c = 6.399 Å
α = 59.66°, β = 59.66°, γ = 90.00°
Sites, in units of the cell vectors:
Ca1 0.500 0.500 0.000
Rb1 0.750 0.250 0.500
Rb2 0.250 0.750 0.500
W1 0.000 0.000 0.000
F1 0.242 0.242 0.516
F2 0.758 0.758 0.484
F3 0.248 0.248 0.000
F4 0.752 0.752 0.000
F5 0.752 0.248 0.000
F6 0.248 0.752 0.000